1.
## TbPrNd2Y2 (PBE)

Data for crystalline TbPrNd2Y2 at its relaxed geometry.

Its space-group type is Pnnm, No. 58. The energy relative to the elements comes out at 269 meV per atom.

Cell and atoms, written as POSCAR:
```
TbPrNd2Y2
1.0
6.675 0.000 0.000
0.000 18.212 0.000
0.000 0.000 3.427
Tb Pr Nd Y
2 2 4 4
direct
0.000 0.000 0.000
0.500 0.500 0.500
0.000 0.500 0.000
0.500 0.000 0.500
0.226 0.316 0.000
0.274 0.816 0.500
0.726 0.184 0.500
0.774 0.684 0.000
0.222 0.148 0.500
0.278 0.648 0.000
0.722 0.352 0.000
0.778 0.852 0.500
```



2.
## DyPaTe2O8 (PBE)

Data for crystalline DyPaTe2O8 at its relaxed geometry.

Its space-group type is I-4m2, No. 119. The value obtained for the final energy is -7.0966 eV/atom.

Cell and atoms, written as POSCAR:
```
DyPaTe2O8
1.0
-3.615 3.615 3.606
3.615 -3.615 3.606
3.615 3.615 -3.606
Dy Pa Te O
1 1 2 8
direct
0.000 0.000 0.000
0.750 0.250 0.500
0.250 0.750 0.500
0.500 0.500 0.000
0.036 0.351 0.315
0.036 0.721 0.685
0.101 0.296 0.806
0.279 0.964 0.315
0.490 0.296 0.194
0.649 0.964 0.685
0.704 0.510 0.806
0.704 0.899 0.194
```



3.
## YRhS (PBE)

Data for crystalline YRhS at its relaxed geometry.

Its space-group type is Cmmm, No. 65. The value obtained for the final energy is -6.8930 eV/atom.

Cell and atoms, written as POSCAR:
```
YRhS
1.0
3.714 -4.462 0.000
3.714 4.462 0.000
0.000 0.000 3.766
Y Rh S
2 2 2
direct
0.212 0.788 0.000
0.788 0.212 0.000
0.317 0.317 0.500
0.683 0.683 0.500
0.000 0.000 0.500
0.500 0.500 0.000
```



4.
## Y8P3SeS4 (PBE)

Data for crystalline Y8P3SeS4 at its relaxed geometry.

Its space-group type is R-3m, No. 166. The value obtained for the final energy is -7.3852 eV/atom.

Cell and atoms, written as POSCAR:
```
Y8P3SeS4
1.0
3.986 2.302 6.479
-3.986 2.302 6.479
0.000 -4.603 6.479
Y P Se S
8 3 1 4
direct
0.237 0.755 0.755
0.245 0.245 0.763
0.245 0.763 0.245
0.247 0.247 0.247
0.753 0.753 0.753
0.755 0.237 0.755
0.755 0.755 0.237
0.763 0.245 0.245
0.000 0.000 0.500
0.000 0.500 0.000
0.500 0.000 0.000
0.500 0.500 0.500
0.000 0.000 0.000
0.000 0.500 0.500
0.500 0.000 0.500
0.500 0.500 0.000
```



What did the third record say?
## YRhS (PBE)

Data for crystalline YRhS at its relaxed geometry.

Its space-group type is Cmmm, No. 65. The value obtained for the final energy is -6.8930 eV/atom.

Cell and atoms, written as POSCAR:
```
YRhS
1.0
3.714 -4.462 0.000
3.714 4.462 0.000
0.000 0.000 3.766
Y Rh S
2 2 2
direct
0.212 0.788 0.000
0.788 0.212 0.000
0.317 0.317 0.500
0.683 0.683 0.500
0.000 0.000 0.500
0.500 0.500 0.000
```